(1)
A plane-wave DFT calculation with PBE was carried out for a relaxed CaTl4Cl6 crystal.

Cell: 8.911 8.911 8.911 Å, 90.29 90.29 89.71°
Fractional positions:
Ca  0.500  0.500  0.500
Ca  0.000  0.000  0.000
Tl  0.383  0.117  0.250
Tl  0.883  0.250  0.383
Tl  0.250  0.617  0.117
Tl  0.250  0.250  0.750
Tl  0.750  0.750  0.250
Tl  0.750  0.383  0.883
Tl  0.117  0.750  0.617
Tl  0.617  0.883  0.750
Cl  0.705  0.058  0.070
Cl  0.070  0.295  0.058
Cl  0.570  0.442  0.205
Cl  0.942  0.070  0.705
Cl  0.558  0.205  0.570
Cl  0.205  0.430  0.442
Cl  0.795  0.570  0.558
Cl  0.442  0.795  0.430
Cl  0.058  0.930  0.295
Cl  0.430  0.558  0.795
Cl  0.930  0.705  0.942
Cl  0.295  0.942  0.930

=====

(2)
A plane-wave DFT calculation with PBE was carried out for a relaxed Ca2Tl5Cl12 crystal.

Cell: 9.313 8.135 9.316 Å, 115.89 107.58 90.00°
Fractional positions:
Ca  0.000  0.748  0.000
Ca  0.000  0.252  0.000
Tl  0.625  0.292  0.583
Tl  0.153  0.314  0.628
Tl  0.500  0.000  0.000
Tl  0.847  0.686  0.372
Tl  0.375  0.708  0.417
Cl  0.201  0.006  0.012
Cl  0.906  0.093  0.654
Cl  0.906  0.561  0.654
Cl  0.427  0.104  0.764
Cl  0.427  0.660  0.764
Cl  0.798  0.496  0.992
Cl  0.202  0.504  0.008
Cl  0.573  0.896  0.236
Cl  0.573  0.340  0.236
Cl  0.094  0.907  0.346
Cl  0.094  0.439  0.346
Cl  0.799  0.994  0.988

=====

(3)
A plane-wave DFT calculation with PBE was carried out for a relaxed CaTl3Cl crystal.

Cell: 5.774 5.774 5.774 Å, 90.00 90.00 90.00°
Fractional positions:
Tl  0.000  0.500  0.000
Tl  0.000  0.000  0.500
Tl  0.500  0.000  0.000
Ca  0.500  0.500  0.500
Cl  0.000  0.000  0.000

=====

(4)
A plane-wave DFT calculation with PBE was carried out for a relaxed CaTlCl3 crystal.

Cell: 5.636 5.636 5.636 Å, 90.00 90.00 90.00°
Fractional positions:
Tl  0.000  0.000  0.000
Ca  0.500  0.500  0.500
Cl  0.000  0.500  0.000
Cl  0.000  0.000  0.500
Cl  0.500  0.000  0.000

=====

Number 1: E_form (uncorrected) -15.29 eV/f.u., calculated total energy -75.67 eV/cell, D(E_F) 0.00 states/eV per atom. Number 2: E_form (uncorrected) -24.86 eV/f.u., calculated total energy -62.85 eV/cell, D(E_F) 0.58 states/eV per atom. Number 3: E_form (uncorrected) -0.84 eV/f.u., calculated total energy -11.79 eV/cell, D(E_F) 0.61 states/eV per atom. Number 4: E_form (uncorrected) -4.68 eV/f.u., calculated total energy -14.59 eV/cell, D(E_F) 0.35 states/eV per atom.